Cu4Ag5: optimized geometry, PBE-GGA.

The structure belongs to space group Imm2 (No. 44); the cell edges are 2.8246, 3.7968 and 25.6284 Å and the angles 90.00°, 90.00° and 90.00°. Symmetry generates all atoms from Cu at (0.0000, 0.0000, 0.0000), Cu at (0.0000, 0.0000, 0.1082), Cu at (0.0000, 0.0000, 0.2168), Cu at (0.0000, 0.0000, 0.4508), Ag at (0.0000, 0.0000, 0.3345), Ag at (0.0000, 0.0000, 0.5534), Ag at (0.0000, 0.0000, 0.6628), Ag at (0.0000, 0.0000, 0.7721) and Ag at (0.0000, 0.0000, 0.8970).

The calculation puts the offset from the most stable computed form at 0.052 eV/atom.

---

Cu3Ag2: optimized geometry, PBE-GGA.

The structure belongs to space group C2/m (No. 12); the cell edges are 14.1668, 3.7090 and 5.5617 Å and the angles 90.00°, 101.83° and 90.00°. Symmetry generates all atoms from Cu at (0.1024, 0.0000, 0.2912), Cu at (0.1065, 0.0000, 0.8208), Cu at (0.1988, 0.5000, 0.0938), Ag at (0.0000, 0.5000, 0.0000), Ag at (0.0000, 0.5000, 0.5000) and Ag at (0.1991, 0.5000, 0.6090).

The calculation puts the offset from the most stable computed form at 0.054 eV/atom.

---

Cu3Ag2: optimized geometry, PBE-GGA.

The structure belongs to space group Amm2 (No. 38); the cell edges are 3.8670, 3.9014 and 18.9528 Å and the angles 90.00°, 90.00° and 90.00°. Symmetry generates all atoms from Cu at (0.0000, 0.0000, 0.0000), Cu at (0.0000, 0.0000, 0.1792), Cu at (0.0000, 0.0000, 0.5843), Cu at (0.0000, 0.0000, 0.7838), Cu at (0.5000, 0.0000, 0.0847), Cu at (0.5000, 0.0000, 0.4997), Ag at (0.0000, 0.0000, 0.3971), Ag at (0.5000, 0.0000, 0.2849), Ag at (0.5000, 0.0000, 0.6803) and Ag at (0.5000, 0.0000, 0.8965).

The calculation puts the offset from the most stable computed form at 0.040 eV/atom.

---

Cu2Ag7: optimized geometry, PBE-GGA.

The structure belongs to space group P-3m1 (No. 164); the cell edges are 2.8912, 2.8912 and 20.8193 Å and the angles 90.00°, 90.00° and 120.00°. Symmetry generates all atoms from Cu at (0.3333, 0.6667, 0.3949), Ag at (0.0000, 0.0000, 0.1736), Ag at (0.0000, 0.0000, 0.5000), Ag at (0.3333, 0.6667, 0.0578) and Ag at (0.3333, 0.6667, 0.7091).

The calculation puts the offset from the most stable computed form at 0.034 eV/atom.

---

Cu3Ag2: optimized geometry, PBE-GGA.

The structure belongs to space group Cm (No. 8); the cell edges are 22.0461, 2.7864 and 4.7087 Å and the angles 90.00°, 95.64° and 90.00°. Symmetry generates all atoms from Cu at (0.0000, 0.0000, 0.0000), Cu at (0.0021, 0.5000, 0.5061), Cu at (0.2109, 0.5000, 0.9083), Cu at (0.3177, 0.5000, 0.6054), Cu at (0.4108, 0.0000, 0.7948), Cu at (0.4128, 0.5000, 0.3143), Ag at (0.1019, 0.5000, 0.2032), Ag at (0.1052, 0.0000, 0.7071), Ag at (0.2139, 0.0000, 0.4164) and Ag at (0.3140, 0.0000, 0.0971).

The calculation puts the offset from the most stable computed form at 0.059 eV/atom.

---

CuAg5: optimized geometry, PBE-GGA.

The structure belongs to space group P-3m1 (No. 164); the cell edges are 2.8940, 2.8940 and 14.0311 Å and the angles 90.00°, 90.00° and 120.00°. Symmetry generates all atoms from Cu at (0.0000, 0.0000, 0.0000), Ag at (0.0000, 0.0000, 0.5000), Ag at (0.3333, 0.6667, 0.3271) and Ag at (0.3333, 0.6667, 0.8464).

The calculation puts the offset from the most stable computed form at 0.013 eV/atom.

---

Cu8Ag: optimized geometry, PBE-GGA.

The structure belongs to space group I4/mmm (No. 139); the cell edges are 2.6371, 2.6371 and 32.4154 Å and the angles 90.00°, 90.00° and 90.00°. Symmetry generates all atoms from Cu at (0.0000, 0.0000, 0.0634), Cu at (0.0000, 0.0000, 0.1700), Cu at (0.0000, 0.0000, 0.2768), Cu at (0.0000, 0.0000, 0.3834) and Ag at (0.0000, 0.0000, 0.5000).

The calculation puts the offset from the most stable computed form at 0.000 eV/atom.

---

Cu4Ag5: optimized geometry, PBE-GGA.

The structure belongs to space group P3m1 (No. 156); the cell edges are 2.8237, 2.8237 and 20.0721 Å and the angles 90.00°, 90.00° and 120.00°. Symmetry generates all atoms from Cu at (0.0000, 0.0000, 0.0000), Cu at (0.0000, 0.0000, 0.3431), Cu at (0.3333, 0.6667, 0.5350), Cu at (0.6667, 0.3333, 0.4391), Ag at (0.0000, 0.0000, 0.6444), Ag at (0.3333, 0.6667, 0.2334), Ag at (0.3333, 0.6667, 0.8909), Ag at (0.6667, 0.3333, 0.1093) and Ag at (0.6667, 0.3333, 0.7678).

The calculation puts the offset from the most stable computed form at 0.053 eV/atom.

---

no.,calculated density (g/cm3),DFT formation energy (kcal/mol of atoms),DFT total energy (Ry per atom)
1,9.588,2.08,-0.230
2,9.437,2.22,-0.240
3,9.440,1.89,-0.241
4,9.720,1.39,-0.218
5,9.377,2.34,-0.240
6,9.837,1.05,-0.215
7,9.078,0.85,-0.263
8,9.507,2.10,-0.230